[1]
This record from Alexandria describes a relaxed structure of HoEr2Pt. The functional is GGA-PBE.

a b c (Å): 9.666 9.666 9.666
angles (deg): 22.40 22.40 22.40
Sites, in units of the cell vectors:
1 Ho 0.000 0.000 0.000
2 Er 0.229 0.229 0.229
3 Er 0.771 0.771 0.771
4 Pt 0.500 0.500 0.500

Energy relative to the elements ... -0.500 eV/atom
E ... -5.436 eV per atom
Density ... 10.0 Mg/m³
M_tot ... 0.0 μB per cell

=====

[2]
This record from Alexandria describes a relaxed structure of Ho2ErPt2. The functional is GGA-PBE.

a b c (Å): 7.672 7.672 3.975
angles (deg): 90.00 90.00 90.00
Sites, in units of the cell vectors:
1 Ho 0.161 0.339 0.000
2 Ho 0.339 0.839 0.000
3 Ho 0.661 0.161 0.000
4 Ho 0.839 0.661 0.000
5 Er 0.000 0.000 0.500
6 Er 0.500 0.500 0.500
7 Pt 0.140 0.640 0.500
8 Pt 0.360 0.140 0.500
9 Pt 0.640 0.860 0.500
10 Pt 0.860 0.360 0.500

Energy relative to the elements ... -1.096 eV/atom
E ... -6.256 eV per atom
Density ... 12.6 Mg/m³
M_tot ... 0.0 μB per cell

=====

[3]
This record from Alexandria describes a relaxed structure of HoEr2Pt2. The functional is GGA-PBE.

a b c (Å): 13.856 13.856 4.602
angles (deg): 90.00 90.00 164.47
Sites, in units of the cell vectors:
1 Ho 0.136 0.864 0.750
2 Ho 0.864 0.136 0.250
3 Er 0.231 0.769 0.250
4 Er 0.449 0.551 0.750
5 Er 0.551 0.449 0.250
6 Er 0.769 0.231 0.750
7 Pt 0.033 0.967 0.750
8 Pt 0.344 0.656 0.750
9 Pt 0.656 0.344 0.250
10 Pt 0.967 0.033 0.250

Energy relative to the elements ... -1.030 eV/atom
E ... -6.187 eV per atom
Density ... 12.5 Mg/m³
M_tot ... 0.0 μB per cell

=====

[4]
This record from Alexandria describes a relaxed structure of HoErPt2. The functional is GGA-PBE.

a b c (Å): 7.017 7.017 7.017
angles (deg): 33.43 33.43 33.43
Sites, in units of the cell vectors:
1 Ho 0.000 0.000 0.000
2 Er 0.500 0.500 0.500
3 Pt 0.249 0.249 0.249
4 Pt 0.751 0.751 0.751

Energy relative to the elements ... -1.146 eV/atom
E ... -6.452 eV per atom
Density ... 12.8 Mg/m³
M_tot ... 0.0 μB per cell

=====

[5]
This record from Alexandria describes a relaxed structure of HoErRuPt. The functional is GGA-PBE.

a b c (Å): 3.451 3.451 6.715
angles (deg): 90.00 90.00 90.00
Sites, in units of the cell vectors:
1 Ho 0.000 0.000 0.000
2 Er 0.000 0.000 0.489
3 Ru 0.500 0.500 0.246
4 Pt 0.500 0.500 0.743

Energy relative to the elements ... -0.880 eV/atom
E ... -6.994 eV per atom
Density ... 13.0 Mg/m³
M_tot ... 0.0 μB per cell

=====

[6]
This record from Alexandria describes a relaxed structure of HoErRuPt. The functional is GGA-PBE.

a b c (Å): 4.836 4.836 4.836
angles (deg): 60.00 60.00 60.00
Sites, in units of the cell vectors:
1 Ho 0.000 0.000 0.000
2 Er 0.500 0.500 0.500
3 Ru 0.250 0.250 0.250
4 Pt 0.750 0.750 0.750

Energy relative to the elements ... -0.832 eV/atom
E ... -6.947 eV per atom
Density ... 13.0 Mg/m³
M_tot ... 0.0 μB per cell

=====

[7]
This record from Alexandria describes a relaxed structure of HoEr2Si3Pt4. The functional is GGA-PBE.

a b c (Å): 4.135 4.135 11.080
angles (deg): 90.00 90.00 90.00
Sites, in units of the cell vectors:
1 Ho 0.000 0.000 0.000
2 Er 0.000 0.500 0.723
3 Er 0.500 0.000 0.277
4 Si 0.000 0.500 0.376
5 Si 0.500 0.000 0.624
6 Si 0.500 0.500 0.000
7 Pt 0.000 0.000 0.500
8 Pt 0.000 0.500 0.164
9 Pt 0.500 0.000 0.836
10 Pt 0.500 0.500 0.500

E ... -6.459 eV per atom
Density ... 12.0 Mg/m³
M_tot ... 0.0 μB per cell

=====

[8]
This record from Alexandria describes a relaxed structure of HoErSiPt. The functional is GGA-PBE.

a b c (Å): 4.159 5.677 5.677
angles (deg): 40.76 90.00 90.00
Sites, in units of the cell vectors:
1 Ho 0.000 0.000 0.000
2 Er 0.500 0.717 0.717
3 Si 0.000 0.282 0.282
4 Pt 0.500 0.436 0.436

E ... -6.203 eV per atom
Density ... 10.5 Mg/m³
M_tot ... 0.0 μB per cell

=====

[9]
This record from Alexandria describes a relaxed structure of HoErSi2Pt5. The functional is GGA-PBE.

a b c (Å): 4.169 4.169 8.944
angles (deg): 90.00 90.00 90.00
Sites, in units of the cell vectors:
1 Ho 0.000 0.000 0.000
2 Er 0.000 0.000 0.500
3 Si 0.500 0.500 0.370
4 Si 0.500 0.500 0.630
5 Pt 0.000 0.500 0.235
6 Pt 0.000 0.500 0.765
7 Pt 0.500 0.000 0.235
8 Pt 0.500 0.000 0.765
9 Pt 0.500 0.500 0.000

E ... -6.694 eV per atom
Density ... 14.6 Mg/m³
M_tot ... 0.0 μB per cell

=====

[10]
This record from Alexandria describes a relaxed structure of HoErZnPt. The functional is GGA-PBE.

a b c (Å): 3.527 3.527 6.905
angles (deg): 90.00 90.00 90.00
Sites, in units of the cell vectors:
1 Ho 0.000 0.000 0.000
2 Er 0.000 0.000 0.486
3 Zn 0.500 0.500 0.741
4 Pt 0.500 0.500 0.246

Energy relative to the elements ... -0.829 eV/atom
E ... -4.943 eV per atom
Density ... 11.5 Mg/m³
M_tot ... 0.0 μB per cell

=====

[11]
This record from Alexandria describes a relaxed structure of HoErZnPt. The functional is GGA-PBE.

a b c (Å): 4.950 4.950 4.950
angles (deg): 60.00 60.00 60.00
Sites, in units of the cell vectors:
1 Ho 0.000 0.000 0.000
2 Er 0.500 0.500 0.500
3 Zn 0.750 0.750 0.750
4 Pt 0.250 0.250 0.250

Energy relative to the elements ... -0.815 eV/atom
E ... -4.928 eV per atom
Density ... 11.5 Mg/m³
M_tot ... 0.0 μB per cell

=====

[12]
This record from Alexandria describes a relaxed structure of Ho8Er5Pu. The functional is GGA-PBE.

a b c (Å): 8.006 8.406 8.475
angles (deg): 99.09 113.58 114.65
Sites, in units of the cell vectors:
1 Ho 0.000 0.000 0.000
2 Ho 0.020 0.409 0.470
3 Ho 0.227 0.730 0.021
4 Ho 0.327 0.397 0.872
5 Ho 0.421 0.548 0.328
6 Ho 0.515 0.205 0.174
7 Ho 0.692 0.060 0.546
8 Ho 0.905 0.659 0.208
9 Er 0.028 0.874 0.639
10 Er 0.265 0.136 0.456
11 Er 0.471 0.802 0.751
12 Er 0.720 0.521 0.721
13 Er 0.830 0.279 0.984
14 Pu 0.730 0.929 0.207

Energy relative to the elements ... 0.174 eV/atom
E ... -5.095 eV per atom
Density ... 9.1 Mg/m³
M_tot ... 6.2 μB per cell

=====

- What is the E in the ninth record?
  -6.694 eV per atom